Run a
# Ti2GeF2

An optimized crystal structure of Ti2GeF2 (PBE-GGA, the Alexandria database).

extended XYZ file:
```
5
Lattice="4.0963 0.0000 0.0000 0.0000 4.0963 0.0000 2.0482 2.0482 4.0281" Properties=species:S:1:pos:R:3 pbc="T T T"
F 4.0963 4.0963 2.7968
Ti 4.0963 2.0482 2.0140
Ti 2.0482 4.0963 2.0140
Ge 0.0000 0.0000 0.0000
F 2.0482 2.0482 1.2313
```

Results
volume	67.59	Å³/cell
mass density	5.1	g/cm3
space group	I4/mmm

***

Run b
# Ti2GeF2

An optimized crystal structure of Ti2GeF2 (PBE-GGA, the Alexandria database).

extended XYZ file:
```
5
Lattice="-2.8920 0.5331 1.7043 -1.2496 -2.9215 -1.2065 0.0220 -3.9062 4.6484" Properties=species:S:1:pos:R:3 pbc="T T T"
Ti -2.5589 -4.4394 3.8248
F -1.6492 -4.0110 1.8453
F -2.4704 -2.2837 3.3007
Ti -1.5606 -1.8553 1.3213
Ge 0.0000 0.0000 0.0000
```

Results
volume	64.41	Å³/cell
mass density	5.3	g/cm3
space group	I4/mmm

***

It turns out run b is the most stable, with the second structure 417 meV/atom higher.